Model a:
! PBE Tb4NdEr3, optimized geometry; values from VASP
! Volume   258 Å³/f.u.
! SG   Pmn2_1
&SYSTEM
  ibrav = 0, nat = 16, ntyp = 3
/
ATOMIC_SPECIES
Tb 158.93 Tb.upf
Nd 144.24 Nd.upf
Er 167.26 Er.upf
ATOMIC_POSITIONS crystal
Tb 0.000 0.125 0.000
Tb 0.000 0.874 0.497
Tb 0.248 0.875 0.832
Tb 0.252 0.125 0.332
Tb 0.500 0.126 0.997
Tb 0.500 0.875 0.500
Tb 0.748 0.125 0.332
Tb 0.752 0.875 0.832
Nd 0.000 0.375 0.498
Nd 0.500 0.625 0.998
Er 0.000 0.625 0.999
Er 0.250 0.375 0.832
Er 0.250 0.625 0.332
Er 0.500 0.375 0.499
Er 0.750 0.375 0.832
Er 0.750 0.625 0.332
CELL_PARAMETERS angstrom
11.297 0.000 0.000
0.000 7.270 0.000
0.000 0.000 6.279

---

Model b:
! PBE Tb4NdEr3, optimized geometry; values from VASP
! Volume   261 Å³/f.u.
! SG   C2/m
&SYSTEM
  ibrav = 0, nat = 8, ntyp = 3
/
ATOMIC_SPECIES
Tb 158.93 Tb.upf
Nd 144.24 Nd.upf
Er 167.26 Er.upf
ATOMIC_POSITIONS crystal
Tb 0.105 0.105 0.000
Tb 0.224 0.224 0.999
Tb 0.776 0.776 0.001
Tb 0.895 0.895 0.000
Nd 0.000 0.000 0.500
Er 0.345 0.345 0.501
Er 0.500 0.500 0.000
Er 0.655 0.655 0.499
CELL_PARAMETERS angstrom
12.997 -2.827 0.000
12.997 2.827 0.000
-0.003 0.000 3.558

---

model a ends up most stable, edging out the next structure by 20.5 kJ/mol of atoms.

---

Model a:
! PBE Tb2Nd3Er4, optimized geometry; values from VASP
! Volume   291 Å³/f.u.
! SG   C2/m
&SYSTEM
  ibrav = 0, nat = 9, ntyp = 3
/
ATOMIC_SPECIES
Tb 158.93 Tb.upf
Nd 144.24 Nd.upf
Er 167.26 Er.upf
ATOMIC_POSITIONS crystal
Tb 0.167 0.167 0.220
Tb 0.833 0.833 0.780
Nd 0.166 0.166 0.556
Nd 0.500 0.500 0.000
Nd 0.834 0.834 0.444
Er 0.167 0.167 0.889
Er 0.500 0.500 0.332
Er 0.500 0.500 0.668
Er 0.833 0.833 0.111
CELL_PARAMETERS angstrom
7.809 -1.787 0.000
7.809 1.787 0.000
-2.445 0.000 10.411

---

Model b:
! PBE Tb2Nd3Er4, optimized geometry; values from VASP
! Volume   291 Å³/f.u.
! SG   C2/c
&SYSTEM
  ibrav = 0, nat = 18, ntyp = 3
/
ATOMIC_SPECIES
Tb 158.93 Tb.upf
Nd 144.24 Nd.upf
Er 167.26 Er.upf
ATOMIC_POSITIONS crystal
Tb 0.015 0.747 0.686
Tb 0.253 0.985 0.814
Tb 0.747 0.015 0.186
Tb 0.985 0.253 0.314
Nd 0.105 0.895 0.250
Nd 0.230 0.438 0.414
Nd 0.438 0.230 0.914
Nd 0.562 0.770 0.086
Nd 0.770 0.562 0.586
Nd 0.895 0.105 0.750
Er 0.083 0.352 0.852
Er 0.317 0.584 0.980
Er 0.352 0.083 0.352
Er 0.416 0.683 0.520
Er 0.584 0.317 0.480
Er 0.648 0.917 0.648
Er 0.683 0.416 0.020
Er 0.917 0.648 0.148
CELL_PARAMETERS angstrom
8.306 -5.824 0.000
8.306 5.824 0.000
-0.783 0.000 6.012

---

model a ends up most stable, edging out the next structure by 7.9 kJ/mol of atoms.

---

Model a:
! PBE Tb2NdEr8, optimized geometry; values from VASP
! Volume   343 Å³/f.u.
! SG   C2/m
&SYSTEM
  ibrav = 0, nat = 11, ntyp = 3
/
ATOMIC_SPECIES
Tb 158.93 Tb.upf
Nd 144.24 Nd.upf
Er 167.26 Er.upf
ATOMIC_POSITIONS crystal
Tb 0.228 0.228 0.137
Tb 0.772 0.772 0.863
Nd 0.500 0.500 0.500
Er 0.045 0.045 0.226
Er 0.137 0.137 0.683
Er 0.318 0.318 0.592
Er 0.409 0.409 0.043
Er 0.591 0.591 0.957
Er 0.682 0.682 0.408
Er 0.863 0.863 0.317
Er 0.955 0.955 0.774
CELL_PARAMETERS angstrom
9.005 -2.496 0.000
9.005 2.496 0.000
-2.079 0.000 7.619

---

Model b:
! PBE Tb2NdEr8, optimized geometry; values from VASP
! Volume   349 Å³/f.u.
! SG   Immm
&SYSTEM
  ibrav = 0, nat = 11, ntyp = 3
/
ATOMIC_SPECIES
Tb 158.93 Tb.upf
Nd 144.24 Nd.upf
Er 167.26 Er.upf
ATOMIC_POSITIONS crystal
Tb 0.200 0.200 0.000
Tb 0.800 0.800 0.000
Nd 0.500 0.500 0.000
Er 0.067 0.360 0.707
Er 0.205 0.000 0.205
Er 0.337 0.837 0.500
Er 0.347 0.640 0.707
Er 0.653 0.360 0.293
Er 0.663 0.163 0.500
Er 0.795 0.000 0.795
Er 0.933 0.640 0.293
CELL_PARAMETERS angstrom
-2.725 4.025 7.963
2.725 -4.025 7.963
2.725 4.025 -7.963

---

model a ends up most stable, edging out the next structure by 8.9 kJ/mol of atoms.

---

Model a:
! PBE TbNd4Er6, optimized geometry; values from VASP
! Volume   367 Å³/f.u.
! SG   P-6m2
&SYSTEM
  ibrav = 0, nat = 11, ntyp = 3
/
ATOMIC_SPECIES
Tb 158.93 Tb.upf
Nd 144.24 Nd.upf
Er 167.26 Er.upf
ATOMIC_POSITIONS crystal
Tb 0.000 0.000 0.000
Nd 0.333 0.667 0.000
Nd 0.393 0.196 0.500
Nd 0.804 0.196 0.500
Nd 0.804 0.607 0.500
Er 0.008 0.504 0.000
Er 0.169 0.338 0.500
Er 0.169 0.831 0.500
Er 0.496 0.504 0.000
Er 0.496 0.992 0.000
Er 0.662 0.831 0.500
CELL_PARAMETERS angstrom
10.968 0.000 0.000
-5.484 9.498 0.000
0.000 0.000 3.521

---

Model b:
! PBE TbNd4Er6, optimized geometry; values from VASP
! Volume   375 Å³/f.u.
! SG   I-42m
&SYSTEM
  ibrav = 0, nat = 11, ntyp = 3
/
ATOMIC_SPECIES
Tb 158.93 Tb.upf
Nd 144.24 Nd.upf
Er 167.26 Er.upf
ATOMIC_POSITIONS crystal
Tb 0.000 0.000 0.000
Nd 0.014 0.635 0.000
Nd 0.365 0.365 0.380
Nd 0.635 0.014 0.000
Nd 0.986 0.986 0.620
Er 0.000 0.500 0.500
Er 0.198 0.198 0.645
Er 0.446 0.802 0.000
Er 0.500 0.000 0.500
Er 0.554 0.554 0.355
Er 0.802 0.446 0.000
CELL_PARAMETERS angstrom
-3.328 3.328 8.458
3.328 -3.328 8.458
3.328 3.328 -8.458

---

model a ends up most stable, edging out the next structure by 13.1 kJ/mol of atoms.